## ScTcPt3 (GGA-PBE)

Data for crystalline ScTcPt3 at its relaxed geometry.

a = 4.797 Å, b = 4.797 Å, c = 4.797 Å
α = 90.00°, β = 90.00°, γ = 90.00°
Fractional positions:
Sc1 0.500 0.500 0.500
Tc1 0.000 0.000 0.000
Pt1 0.000 0.500 0.000
Pt2 0.000 0.000 0.500
Pt3 0.500 0.000 0.000

Summary:
- Magnetic moment: 0.0 μB/f.u.
- D(E_F): 1.01 states/eV per atom
- Calculated formation energy: 12.67 kcal/mol of atoms
- Space group: Pm-3m, No. 221